The following is a DFT calculation (GGA-PBE) of K2PbSe after structural relaxation.

Cell lengths 4.0688, 4.0688, 9.8887 Å; angles 90.00, 90.00, 90.00 degrees
Fractional positions:
K (0.0000, 0.0000, 0.9184)
K (0.5000, 0.5000, 0.3144)
Pb (0.0000, 0.0000, 0.5749)
Se (0.5000, 0.5000, 0.6923)

Computed properties:
D(E_F) (states/eV/atom): 0.445
Energy relative to the elements, uncorrected (eV/atom): -0.372
Distance to the lowest polymorph of the same formula (meV/atom): 149.3
M_tot (μB per atom): 0.0000